[1]
{"formula": "Al4Tc5", "functional": "PBE", "state": "relaxed", "de_polymorph_ev_per_atom": 0.1008, "formation_enthalpy_0k_ev_per_fu": -1.03, "n_ef_per_ev_fu": 7.810, "dft_energy_ha_per_atom": -0.277, "lattice_angstrom": [[-4.5974, 4.5974, 1.5694], [4.5974, -4.5974, 1.5694], [4.5974, 4.5974, -1.5694]], "species": ["Al", "Al", "Al", "Al", "Tc", "Tc", "Tc", "Tc", "Tc"], "frac_coords": [[0.0000, 0.3210, 0.3210], [0.0000, 0.6790, 0.6790], [0.3210, 0.0000, 0.3210], [0.6790, 0.0000, 0.6790], [0.0000, 0.0000, 0.0000], [0.3329, 0.3329, 0.6659], [0.3329, 0.6671, 0.0000], [0.6671, 0.3329, 0.0000], [0.6671, 0.6671, 0.3341]]}

[2]
{"formula": "AlTc3", "functional": "PBE", "state": "relaxed", "formation_enthalpy_0k_ev_per_fu": -0.91, "n_ef_per_ev_fu": 2.670, "dft_energy_ha_per_atom": -0.328, "lattice_angstrom": [[3.0976, 0.0000, 0.0000], [0.0000, 4.2443, 0.0000], [0.0000, 0.0000, 8.7108]], "species": ["Al", "Al", "Tc", "Tc", "Tc", "Tc", "Tc", "Tc"], "frac_coords": [[0.0000, 0.0000, 0.0000], [0.5000, 0.5000, 0.5000], [0.0000, 0.0000, 0.5000], [0.0000, 0.5000, 0.2509], [0.0000, 0.5000, 0.7491], [0.5000, 0.0000, 0.2491], [0.5000, 0.0000, 0.7509], [0.5000, 0.5000, 0.0000]]}

[3]
{"formula": "Al3Tc", "functional": "PBE", "state": "relaxed", "formation_enthalpy_0k_ev_per_fu": -0.69, "n_ef_per_ev_fu": 2.971, "dft_energy_ha_per_atom": -0.205, "lattice_angstrom": [[5.3726, 0.0000, 0.0000], [0.0000, 7.9020, 0.0000], [0.0000, 0.0000, 2.8229]], "species": ["Al", "Al", "Al", "Al", "Al", "Al", "Tc", "Tc"], "frac_coords": [[0.0000, 0.0000, 0.0000], [0.2500, 0.2500, 0.5000], [0.2500, 0.7500, 0.5000], [0.5000, 0.5000, 0.0000], [0.7500, 0.2500, 0.5000], [0.7500, 0.7500, 0.5000], [0.0000, 0.5000, 0.0000], [0.5000, 0.0000, 0.0000]]}

[4]
{"formula": "Al3Tc", "functional": "PBE", "state": "relaxed", "formation_enthalpy_0k_ev_per_fu": -1.51, "n_ef_per_ev_fu": 0.875, "dft_energy_ha_per_atom": -0.212, "lattice_angstrom": [[3.3273, 0.0000, 0.0000], [0.0000, 3.3273, 0.0000], [0.0000, 0.0000, 5.3959]], "species": ["Al", "Al", "Al", "Tc"], "frac_coords": [[0.0000, 0.0000, 0.0000], [0.5000, 0.5000, 0.2637], [0.5000, 0.5000, 0.7363], [0.0000, 0.0000, 0.5000]]}